Ni2HgGe: relaxed, PBE.

E_form	0.119	eV/atom
SG	No. 225
total magnetic moment	0.00	μB/f.u.

Cell lengths 4.351, 4.351, 4.351 Å; angles 60.00, 60.00, 60.00 degrees
Fractional positions:
Ni  0.250  0.250  0.250
Ni  0.750  0.750  0.750
Hg  0.000  0.000  0.000
Ge  0.500  0.500  0.500

***

Er3ThCu4: relaxed, PBE.

E_form	-0.207	eV/atom
SG	No. 123
total magnetic moment	0.00	μB/f.u.

Cell lengths 4.917, 4.917, 6.949 Å; angles 90.00, 90.00, 90.00 degrees
Fractional positions:
Er  0.000  0.000  0.000
Er  0.000  0.000  0.500
Er  0.500  0.500  0.000
Th  0.500  0.500  0.500
Cu  0.000  0.500  0.242
Cu  0.000  0.500  0.758
Cu  0.500  0.000  0.242
Cu  0.500  0.000  0.758